The following is a DFT calculation (GGA-PBE) of ZnTeP after structural relaxation.

```
ZnTeP
1.0
-2.586 -1.612 5.505
0.698 -3.997 -0.843
10.541 1.117 3.435
P Te Zn
4 4 4
Cartesian
-1.365 -2.140 3.580 P
4.771 -3.047 2.772 P
4.254 -3.580 4.876 P
9.693 -0.490 4.911 P
7.153 -2.531 6.617 Te
6.498 0.154 3.527 Te
1.534 -1.091 5.320 Te
1.577 -2.403 1.388 Te
3.675 -0.873 2.141 Zn
-0.296 -4.158 4.244 Zn
4.625 -1.601 6.382 Zn
9.295 -2.313 3.437 Zn
```

Results
crystal system: monoclinic
formation energy from raw total energies: -21 kJ/mol of formula units
excess energy over the best structure of this formula in the dataset: 0.052 eV/atom
uncorrected energy: -0.12300 Ha/atom
ρ: 5.175 Mg/m³
SG: No. 5

***

The following is a DFT calculation (GGA-PBE) of CaP2RhAu after structural relaxation.

```
CaP2RhAu
1.0
-2.340 -2.246 -3.476
4.591 -1.091 -2.386
0.296 -4.073 2.432
Ca Au P Rh
1 1 2 1
Cartesian
2.296 -0.545 -1.193 Ca
0.000 0.000 0.000 Au
0.148 -2.037 1.216 P
-1.170 -1.123 -1.738 P
1.274 -3.705 -1.714 Rh
```

Results
crystal system: tetragonal
uncorrected energy: -0.14378 Ha/atom
ρ: 5.585 Mg/m³
energy relative to the elements: 777 meV per atom
SG: No. 123

***

The following is a DFT calculation (GGA-PBE) of RuRh2Au after structural relaxation.

```
RuRh2Au
1.0
-4.757 0.244 -0.194
1.240 -3.706 2.730
-0.007 1.654 2.248
Rh Ru Au
2 1 1
Cartesian
0.000 0.000 0.000 Rh
-1.758 -1.731 1.268 Rh
-2.382 0.949 1.027 Ru
0.617 -1.026 2.489 Au
```

Results
crystal system: orthorhombic
excess energy over the best structure of this formula in the dataset: 0.180 eV/atom
uncorrected energy: -0.24101 Ha/atom
ρ: 13.938 Mg/m³
energy relative to the elements: 256 meV per atom
SG: No. 65